{"formula": "LiMg2Cl", "functional": "GGA-PBE", "state": "optimized geometry", "cell": [[3.445, 2.426, 3.201], [-1.612, 1.899, 4.669], [1.546, -2.343, 4.485]], "species": ["Mg", "Mg", "Li", "Cl"], "fractional_positions": [[0.250, 0.250, 0.250], [0.750, 0.750, 0.750], [0.000, 0.000, 0.000], [0.500, 0.500, 0.500]], "dos_ef_per_ev_fu": 2.89, "dft_energy_ev_per_atom": -1.7481, "raw_formation_energy_ev_per_atom": -0.011, "vol_a3_per_atom": 26.195, "m_tot_mub_per_fu": 0.00}